(1)
Below is crystalline FePt2N at its relaxed geometry, with properties calculated at the PBE level.

Results
**Density of states at the Fermi level**: 7.3 states/eV per cell
**ρ**: 11.4 g/cm³
**Raw formation energy**: 0.7094 eV per atom
**Space-group type**: No. 122
**Spin magnetization**: 4.2 μB/f.u.
**DFT total energy**: -6.51 eV/atom

abc: 4.848 4.848 6.665
angles: 68.67 68.67 90.00
Fractional coordinates of all 8 atoms:
Fe: 0.000 0.000 0.000
Fe: 0.750 0.250 0.500
Pt: 0.526 0.125 0.250
Pt: 0.224 0.625 0.250
Pt: 0.375 0.474 0.750
Pt: 0.875 0.776 0.750
N: 0.500 0.500 0.000
N: 0.250 0.750 0.500

(2)
Below is crystalline BaAc2Pd9 at its relaxed geometry, with properties calculated at the PBE level.

Results
**Density of states at the Fermi level**: 6.8 states/eV per cell
**Formation energy from the elements**: -0.63 eV/atom
**ρ**: 10.3 g/cm³
**Space-group type**: No. 166
**Spin magnetization**: 0.0 μB/f.u.
**DFT total energy**: -5.37 eV/atom

abc: 5.604 5.604 9.703
angles: 73.21 73.21 60.00
Fractional coordinates of all 12 atoms:
Ba: 0.000 0.000 0.000
Ac: 0.863 0.863 0.411
Ac: 0.137 0.137 0.589
Pd: 0.667 0.667 0.999
Pd: 0.333 0.333 0.001
Pd: 0.500 0.500 0.500
Pd: 0.414 0.414 0.253
Pd: 0.918 0.414 0.253
Pd: 0.414 0.918 0.253
Pd: 0.586 0.586 0.747
Pd: 0.586 0.082 0.747
Pd: 0.082 0.586 0.747

(3)
Below is crystalline YMo2P at its relaxed geometry, with properties calculated at the PBE level.

Results
**Density of states at the Fermi level**: 2.7 states/eV per cell
**Formation energy from the elements**: 0.04 eV/atom
**ρ**: 6.9 g/cm³
**Space-group type**: No. 10
**Spin magnetization**: 0.0 μB/f.u.
**DFT total energy**: -8.34 eV/atom

abc: 4.588 3.539 4.616
angles: 83.92 90.00 90.00
Fractional coordinates of all 4 atoms:
Y: 0.500 0.000 0.500
Mo: 0.000 0.353 0.767
Mo: 0.000 0.647 0.233
P: 0.500 0.500 0.000

(4)
Below is crystalline SmDy2PaP4 at its relaxed geometry, with properties calculated at the PBE level.

Results
**Density of states at the Fermi level**: 4.8 states/eV per cell
**Formation energy from the elements**: -1.53 eV/atom
**ρ**: 7.5 g/cm³
**Space-group type**: No. 10
**Spin magnetization**: 0.0 μB/f.u.
**DFT total energy**: -7.17 eV/atom

abc: 4.022 6.962 6.933
angles: 109.47 90.00 90.00
Fractional coordinates of all 8 atoms:
Sm: 0.000 0.000 0.000
Dy: 0.500 0.000 0.500
Dy: 0.000 0.500 0.500
Pa: 0.500 0.500 0.000
P: 0.500 0.258 0.251
P: 0.500 0.742 0.749
P: 0.000 0.256 0.752
P: 0.000 0.744 0.248